(1)
First-principles (GGA-PBE) data for crystalline Na2SeCl at its relaxed geometry, as listed in the Alexandria database.

a b c (Å): 7.3145 7.3145 8.6697
angles (deg): 90.00 90.00 90.00
Closest atoms and distances in Å follow each position.
Space group I-42d (No. 122)
Symmetry-distinct sites (fractional):
Na  0.2220  0.2500  0.1250 [8 per cell]  2 Cl 2.67, 2 Se 2.94
Se  0.0000  0.0000  0.5000 [4 per cell]  4 Na 2.94
Cl  0.0000  0.0000  0.0000 [4 per cell]  4 Na 2.67

M_tot ... 4.000 μB/cell
Energy relative to the lowest polymorph listed for this composition ... 0 meV per atom
Theoretical density ... 2.297 g/cm3
Energy relative to the elements, uncorrected ... -1009 meV per atom
Final energy ... -3.001 eV/atom

(2)
First-principles (GGA-PBE) data for crystalline Na2SeCl at its relaxed geometry, as listed in the Alexandria database.

a b c (Å): 7.1959 7.1959 7.1959
angles (deg): 90.00 90.00 90.00
Closest atoms and distances in Å follow each position.
Space group Fm-3m (No. 225)
Symmetry-distinct sites (fractional):
Na  0.2500  0.2500  0.2500 [8 per cell]  4 Cl 3.12, 4 Se 3.12
Se  0.0000  0.0000  0.0000 [4 per cell]  8 Na 3.12
Cl  0.0000  0.0000  0.5000 [4 per cell]  8 Na 3.12

M_tot ... 4.000 μB/cell
Energy relative to the lowest polymorph listed for this composition ... 76 meV per atom
Theoretical density ... 2.859 g/cm3
Energy relative to the elements, uncorrected ... -933 meV per atom
Final energy ... -2.925 eV/atom

(3)
First-principles (GGA-PBE) data for crystalline NaSeCl at its relaxed geometry, as listed in the Alexandria database.

a b c (Å): 10.1535 3.6121 8.2601
angles (deg): 90.00 96.45 90.00
Closest atoms and distances in Å follow each position.
Space group C2/m (No. 12)
Symmetry-distinct sites (fractional):
Na  0.1199  0.0000  0.1427 [4 per cell]  5 Cl 2.81-2.96
Se  0.2052  0.0000  0.5820 [4 per cell]  2 Se 2.49
Cl  0.1030  0.5000  0.8567 [4 per cell]  5 Na 2.81-2.96

M_tot ... 0.000 μB/cell
Theoretical density ... 3.032 g/cm3
Energy relative to the elements, uncorrected ... -991 meV per atom
Final energy ... -3.208 eV/atom

(4)
First-principles (GGA-PBE) data for crystalline Na2SeCl2 at its relaxed geometry, as listed in the Alexandria database.

a b c (Å): 5.5180 5.5180 8.5483
angles (deg): 90.00 90.00 90.00
Closest atoms and distances in Å follow each position.
Space group I4/mmm (No. 139)
Symmetry-distinct sites (fractional):
Na  0.0000  0.5000  0.2500 [4 per cell]  4 Cl 2.79
Se  0.0000  0.0000  0.0000 [2 per cell]  2 Cl 2.53
Cl  0.0000  0.0000  0.2964 [4 per cell]  1 Se 2.53, 4 Na 2.79

M_tot ... 0.000 μB/cell
Energy relative to the lowest polymorph listed for this composition ... 0 meV per atom
Theoretical density ... 2.499 g/cm3
Energy relative to the elements, uncorrected ... -1096 meV per atom
Final energy ... -3.059 eV/atom

(5)
First-principles (GGA-PBE) data for crystalline Na2SeCl6 at its relaxed geometry, as listed in the Alexandria database.

a b c (Å): 6.3977 6.3977 12.0706
angles (deg): 90.00 90.00 90.00
Closest atoms and distances in Å follow each position.
Space group P4_2/mnm (No. 136)
Symmetry-distinct sites (fractional):
Na  0.0000  0.0000  0.1662 [4 per cell]  6 Cl 2.81-2.89
Se  0.0000  0.0000  0.5000 [2 per cell]  6 Cl 2.44-2.45
Cl  0.1851  0.1851  0.3533 [8 per cell]  1 Se 2.44
Cl  0.2298  0.2298  0.0000 [4 per cell]  1 Se 2.45

M_tot ... 0.000 μB/cell
Energy relative to the lowest polymorph listed for this composition ... 31 meV per atom
Theoretical density ... 2.270 g/cm3
Energy relative to the elements, uncorrected ... -949 meV per atom
Final energy ... -2.860 eV/atom

(6)
First-principles (GGA-PBE) data for crystalline NaSeCl3 at its relaxed geometry, as listed in the Alexandria database.

a b c (Å): 6.9299 8.8065 10.4538
angles (deg): 90.00 97.14 90.00
Closest atoms and distances in Å follow each position.
Space group P2_1/c (No. 14)
Symmetry-distinct sites (fractional):
Na  0.0176  0.2467  0.2546 [4 per cell]  6 Cl 2.79-2.98
Se  0.4438  0.0659  0.6064 [4 per cell]  3 Cl 2.39-2.47
Cl  0.1347  0.1833  0.5139 [4 per cell]  1 Se 2.47
Cl  0.2556  0.5144  0.7588 [4 per cell]  1 Se 2.41
Cl  0.2830  0.5043  0.2865 [4 per cell]  1 Se 2.39

M_tot ... 0.000 μB/cell
Energy relative to the lowest polymorph listed for this composition ... 0 meV per atom
Theoretical density ... 2.186 g/cm3
Energy relative to the elements, uncorrected ... -786 meV per atom
Final energy ... -2.854 eV/atom

(7)
First-principles (GGA-PBE) data for crystalline NaSeCl3 at its relaxed geometry, as listed in the Alexandria database.

a b c (Å): 5.1925 5.1925 5.1925
angles (deg): 90.00 90.00 90.00
Closest atoms and distances in Å follow each position.
Space group Pm-3m (No. 221)
Symmetry-distinct sites (fractional):
Na  0.0000  0.0000  0.0000 [1 per cell]  12 Cl 3.67
Se  0.5000  0.5000  0.5000 [1 per cell]  6 Cl 2.60
Cl  0.0000  0.5000  0.5000 [3 per cell]  2 Se 2.60

M_tot ... 0.000 μB/cell
Energy relative to the lowest polymorph listed for this composition ... 148 meV per atom
Theoretical density ... 2.471 g/cm3
Energy relative to the elements, uncorrected ... -638 meV per atom
Final energy ... -2.706 eV/atom

(8)
First-principles (GGA-PBE) data for crystalline NaSe3Cl at its relaxed geometry, as listed in the Alexandria database.

a b c (Å): 5.1658 5.1658 5.1658
angles (deg): 90.00 90.00 90.00
Closest atoms and distances in Å follow each position.
Space group Pm-3m (No. 221)
Symmetry-distinct sites (fractional):
Na  0.0000  0.0000  0.0000 [1 per cell]  6 Se 2.58
Se  0.0000  0.0000  0.5000 [3 per cell]  2 Na 2.58
Cl  0.5000  0.5000  0.5000 [1 per cell]  12 Se 3.65

M_tot ... 0.000 μB/cell
Energy relative to the lowest polymorph listed for this composition ... 450 meV per atom
Theoretical density ... 3.557 g/cm3
Energy relative to the elements, uncorrected ... 783 meV per atom
Final energy ... -1.941 eV/atom